Density functional theory data (PBE) for SrLi after structural relaxation.

```
8
Lattice="6.899 0.000 0.000 0.000 6.899 0.000 0.000 0.000 6.808" Properties=species:S:1:pos:R:3 pbc="T T T"
Sr 1.374 1.374 0.000
Sr 2.075 4.823 3.404
Sr 4.823 2.075 3.404
Sr 5.525 5.525 0.000
Li 1.173 1.173 3.404
Li 2.276 4.623 0.000
Li 4.623 2.276 0.000
Li 5.725 5.725 3.404
```

Values from the calculation:
energy relative to the elements: 0.1779 eV/atom
offset from the most stable computed form: 151 meV/atom
space-group type: P4_2/mnm (136)
total DFT energy (no corrections): -3.24 eV/f.u.

---

Density functional theory data (PBE) for PmDyAlTl after structural relaxation.

```
4
Lattice="0.000 3.755 3.755 3.755 0.000 3.755 3.755 3.755 0.000" Properties=species:S:1:pos:R:3 pbc="T T T"
Pm 0.000 0.000 0.000
Dy 3.755 3.755 3.755
Al 1.877 1.877 1.877
Tl 5.632 5.632 5.632
```

Values from the calculation:
energy relative to the elements: -0.3429 eV/atom
offset from the most stable computed form: 24 meV/atom
space-group type: F-43m (216)
total DFT energy (no corrections): -16.83 eV/f.u.

---

Density functional theory data (PBE) for Pu2Al3ZnCu4 after structural relaxation.

```
10
Lattice="4.160 0.000 0.000 0.000 4.160 0.000 0.000 0.000 10.212" Properties=species:S:1:pos:R:3 pbc="T T T"
Pu 0.000 2.080 2.524
Pu 2.080 0.000 7.688
Al 0.000 2.080 8.900
Al 2.080 0.000 1.312
Al 2.080 2.080 5.106
Zn 0.000 0.000 5.106
Cu 0.000 0.000 0.000
Cu 0.000 2.080 6.482
Cu 2.080 0.000 3.730
Cu 2.080 2.080 0.000
```

Values from the calculation:
energy relative to the elements: -0.1489 eV/atom
space-group type: P-4m2 (115)
total DFT energy (no corrections): -59.04 eV/f.u.

---

Density functional theory data (PBE) for Sm5PbSe4 after structural relaxation.

```
10
Lattice="-4.756 4.756 3.006 4.756 -4.756 3.006 4.756 4.756 -3.006" Properties=species:S:1:pos:R:3 pbc="T T T"
Sm 0.000 0.000 0.000
Sm 3.797 1.816 0.000
Sm 2.940 -0.958 3.006
Sm 1.816 5.714 0.000
Sm 0.958 2.940 3.006
Pb 0.000 0.000 3.006
Se 6.668 0.991 0.000
Se 0.991 2.844 0.000
Se 3.765 1.912 3.006
Se -1.912 3.765 3.006
```

Values from the calculation:
space-group type: I4/m (87)
raw formation energy: -1566 meV per atom
total DFT energy (no corrections): -56.90 eV/f.u.

---

Density functional theory data (PBE) for DyTcW after structural relaxation.

```
3
Lattice="-1.612 1.612 5.460 1.612 -1.612 5.460 1.612 1.612 -5.460" Properties=species:S:1:pos:R:3 pbc="T T T"
Dy 0.000 0.000 0.000
Tc 0.000 0.000 7.484
W 0.000 0.000 3.368
```

Values from the calculation:
energy relative to the elements: 0.1056 eV/atom
offset from the most stable computed form: 155 meV/atom
space-group type: I4mm (107)
total DFT energy (no corrections): -27.60 eV/f.u.

---

Density functional theory data (PBE) for Sr2AgO after structural relaxation.

```
8
Lattice="-3.620 3.620 4.469 3.620 -3.620 4.469 3.620 3.620 -4.469" Properties=species:S:1:pos:R:3 pbc="T T T"
Sr 5.430 1.106 -1.117
Sr 1.106 1.810 1.117
Sr -1.810 2.514 3.352
Sr 2.514 1.810 5.586
Ag 3.620 0.000 2.234
Ag 0.000 0.000 4.469
O 0.000 0.000 0.000
O 0.000 3.620 2.234
```

Values from the calculation:
space-group type: I-42d (122)
raw formation energy: -1340 meV per atom
total DFT energy (no corrections): -16.53 eV/f.u.

---

Density functional theory data (PBE) for U3Si after structural relaxation.

```
4
Lattice="-1.426 5.104 2.620 1.426 -5.104 2.620 1.426 5.104 -2.620" Properties=species:S:1:pos:R:3 pbc="T T T"
U 0.000 0.000 0.000
U 1.426 2.793 1.189
U 0.000 2.311 3.809
Si 1.426 0.000 2.566
```

Values from the calculation:
offset from the most stable computed form: 109 meV/atom
space-group type: Imm2 (44)
raw formation energy: -136 meV per atom
total DFT energy (no corrections): -39.83 eV/f.u.

---

Density functional theory data (PBE) for Sm2ZnAs4Rh3 after structural relaxation.

```
10
Lattice="4.265 0.000 0.000 0.000 4.265 0.000 0.000 0.000 10.258" Properties=species:S:1:pos:R:3 pbc="T T T"
Sm 0.000 2.133 2.490
Sm 2.133 0.000 7.768
Zn 0.000 0.000 5.129
As 0.000 0.000 0.000
As 0.000 2.133 6.578
As 2.133 0.000 3.680
As 2.133 2.133 0.000
Rh 0.000 2.133 9.007
Rh 2.133 0.000 1.251
Rh 2.133 2.133 5.129
```

Values from the calculation:
energy relative to the elements: -0.8136 eV/atom
space-group type: P-4m2 (115)
total DFT energy (no corrections): -59.50 eV/f.u.